1.
# KCd2SnC

A relaxed KCd2SnC crystal (PBE-GGA, Alexandria via LeMat-Bulk).

Computed properties:
The density of states at the Fermi level is 4.81 states/eV/f.u. For the total energy, the calculation gives -7.1 eV/f.u. For the energy of formation, the calculation gives 1807 meV per atom.

Lattice parameters (Å, degrees): 5.868 4.612 5.868 90.00 90.00 90.00
Atoms (fractional coordinates):
K (0.000, 0.000, 0.000)
Sn (0.500, 0.500, 0.500)
Cd (0.000, 0.000, 0.500)
C (0.000, 0.500, 0.000)
Cd (0.500, 0.000, 0.000)

2.
# CaErPa2P4

A relaxed CaErPa2P4 crystal (PBE-GGA, Alexandria via LeMat-Bulk).

Computed properties:
The density of states at the Fermi level is 7.85 states/eV/f.u. For the total energy, the calculation gives -57.9 eV/f.u. For the energy of formation, the calculation gives -1340 meV per atom.

Lattice parameters (Å, degrees): 5.633 5.633 6.929 113.99 113.99 90.00
Atoms (fractional coordinates):
P (0.498, 0.998, 0.996)
Pa (0.000, 0.000, 0.000)
P (0.002, 0.502, 0.004)
Pa (0.250, 0.750, 0.500)
Er (0.750, 0.250, 0.500)
P (0.245, 0.245, 0.489)
P (0.755, 0.755, 0.511)
Ca (0.500, 0.500, 0.000)

Copy entry 2 word for word.
# CaErPa2P4

A relaxed CaErPa2P4 crystal (PBE-GGA, Alexandria via LeMat-Bulk).

Computed properties:
The density of states at the Fermi level is 7.85 states/eV/f.u. For the total energy, the calculation gives -57.9 eV/f.u. For the energy of formation, the calculation gives -1340 meV per atom.

Lattice parameters (Å, degrees): 5.633 5.633 6.929 113.99 113.99 90.00
Atoms (fractional coordinates):
P (0.498, 0.998, 0.996)
Pa (0.000, 0.000, 0.000)
P (0.002, 0.502, 0.004)
Pa (0.250, 0.750, 0.500)
Er (0.750, 0.250, 0.500)
P (0.245, 0.245, 0.489)
P (0.755, 0.755, 0.511)
Ca (0.500, 0.500, 0.000)

Q: The lowest energy of formation belongs to which entry?
A: CaErPa2P4

Q: Among the records above, which one has the lowest energy of formation?
A: CaErPa2P4

Q: Which of these has the highest energy of formation?
A: KCd2SnC